LaCu2Mo: optimized geometry, PBE.

Cell and atoms, written as CIF:
```
data_LaCu2Mo
_chemical_formula_sum 'La2 Cu4 Mo2'
_cell_length_a 5.739
_cell_length_b 8.160
_cell_length_c 2.955
_cell_angle_alpha 90.00
_cell_angle_beta 90.31
_cell_angle_gamma 90.00
_symmetry_space_group_name_H-M 'C 1 2/m 1'
_symmetry_Int_Tables_number 12
loop_
_symmetry_equiv_pos_as_xyz
'x,y,z'
'-x,-y,-z'
'-x,y,-z'
'x,-y,z'
'x+1/2,y+1/2,z'
'-x+1/2,-y+1/2,-z'
'-x+1/2,y+1/2,-z'
'x+1/2,-y+1/2,z'
loop_
_atom_site_label
_atom_site_fract_x
_atom_site_fract_y
_atom_site_fract_z
La1 0.000 0.000 0.000
Cu1 0.250 0.250 0.500
Mo1 0.000 0.500 0.000
```

Computed properties:
Offset from the most stable computed form (meV per atom): 115.2
Formation energy from the elements (eV per atom): 0.37
Theoretical density (kg/m³): 8687
Total moment (μB/cell): 0.000



LaCuMo: optimized geometry, PBE.

Cell and atoms, written as CIF:
```
data_LaCuMo
_chemical_formula_sum 'La2 Cu2 Mo2'
_cell_length_a 3.095
_cell_length_b 3.709
_cell_length_c 10.691
_cell_angle_alpha 90.00
_cell_angle_beta 90.00
_cell_angle_gamma 90.00
_symmetry_space_group_name_H-M 'I m m 2'
_symmetry_Int_Tables_number 44
loop_
_symmetry_equiv_pos_as_xyz
'x,y,z'
'-x,-y,z'
'-x,y,z'
'x,-y,z'
'x+1/2,y+1/2,z+1/2'
'-x+1/2,-y+1/2,z+1/2'
'-x+1/2,y+1/2,z+1/2'
'x+1/2,-y+1/2,z+1/2'
loop_
_atom_site_label
_atom_site_fract_x
_atom_site_fract_y
_atom_site_fract_z
La1 0.000 0.000 0.000
Cu1 0.000 0.000 0.297
Mo1 0.000 0.000 0.706
```

Computed properties:
Offset from the most stable computed form (meV per atom): 0.0
Formation energy from the elements (eV per atom): 0.43
Theoretical density (kg/m³): 8075
Total moment (μB/cell): 0.008



Question: Which value of total moment does entry 1 give?
Answer: 0.000 μB/cell



Question: Which formula does entry 2 have?
Answer: LaCuMo



Question: Among the records above, which one has the highest formation energy from the elements?
Answer: LaCuMo



Question: Look up the theoretical density of the second one.
Answer: 8075 kg/m³